# 1
Compound: LaAlFe2H8
Source: Alexandria
Functional: GGA-PBE
Structure: relaxed

```
data_LaAlFe2H8
_cell_length_a 4.4379
_cell_length_b 4.4379
_cell_length_c 16.8765
_cell_angle_alpha 90.00
_cell_angle_beta 90.00
_cell_angle_gamma 120.00
_space_group_name_H-M_alt 'R -3'
_space_group_IT_number 148
_space_group_name_Hall '-R 3'
loop_
_atom_site_label
_atom_site_fract_x
_atom_site_fract_y
_atom_site_fract_z
_atom_site_occupancy
La1 0.0000 0.0000 0.0000 1
Al1 0.0000 0.0000 0.5000 1
Fe1 0.0000 0.0000 0.1987 1
H1 0.0000 0.0000 0.2947 1
H2 0.0171 0.7422 0.8790 1
```

---

# 2
Compound: MgAlFe2H
Source: Alexandria
Functional: GGA-PBE
Structure: relaxed

```
data_MgAlFe2H
_cell_length_a 4.8973
_cell_length_b 4.8973
_cell_length_c 3.0475
_cell_angle_alpha 90.00
_cell_angle_beta 90.00
_cell_angle_gamma 90.00
_space_group_name_H-M_alt 'P 4/m m m'
_space_group_IT_number 123
_space_group_name_Hall '-P 4 2'
loop_
_atom_site_label
_atom_site_fract_x
_atom_site_fract_y
_atom_site_fract_z
_atom_site_occupancy
Mg1 0.0000 0.0000 0.0000 1
Al1 0.5000 0.5000 0.5000 1
Fe1 0.0000 0.5000 0.0000 1
H1 0.0000 0.0000 0.5000 1
```

---

# 3
Compound: MnAlFeH
Source: Alexandria
Functional: GGA-PBE
Structure: relaxed

```
data_MnAlFeH
_cell_length_a 3.6822
_cell_length_b 3.6822
_cell_length_c 10.7389
_cell_angle_alpha 90.00
_cell_angle_beta 90.00
_cell_angle_gamma 120.00
_space_group_name_H-M_alt 'R 3 m'
_space_group_IT_number 160
_space_group_name_Hall 'R 3 -2"'
loop_
_atom_site_label
_atom_site_fract_x
_atom_site_fract_y
_atom_site_fract_z
_atom_site_occupancy
Mn1 0.0000 0.0000 0.0000 1
Al1 0.0000 0.0000 0.5143 1
Fe1 0.0000 0.0000 0.7340 1
H1 0.0000 0.0000 0.3430 1
```

---

Number 1: total magnetic moment 0.000 μB/atom, total DFT energy (no corrections) -4.569 eV/atom. Number 2: total magnetic moment 1.058 μB/atom, total DFT energy (no corrections) -4.129 eV/atom. Number 3: total magnetic moment 0.249 μB/atom, total DFT energy (no corrections) -5.914 eV/atom.